(1)
12
Lattice="-0.9821 3.7053 -0.6619 -9.1437 -1.9464 2.6713 6.7880 3.1027 7.2968" Properties=species:S:1:pos:R:3 comment="CsHfGaAs3 | Alexandria via LeMat-Bulk | PBE | relaxed" spacegroup=P2_1/m dos_at_fermi_per_ev_cell=4.3 delta_e_f_ev_per_atom=-0.5212 pbc="T T T"
Cs -2.6610 3.6014 6.9629
Cs -0.6768 1.2602 2.3433
As 4.4894 3.3729 6.5047
As -7.8272 1.4887 2.8016
As -4.1401 2.3259 2.0172
As -4.4019 0.7599 5.0699
As 1.0640 4.1017 4.2364
As 0.8023 2.5358 7.2891
Ga 3.1360 2.6702 4.5791
Ga -6.4739 2.1914 4.7272
Hf -5.5251 0.0131 2.5562
Hf 2.1873 4.8485 6.7500


(2)
8
Lattice="4.6062 0.0000 0.0000 0.0000 4.6062 0.0000 0.0000 0.0000 13.1513" Properties=species:S:1:pos:R:3 comment="CsGaHgAs | Alexandria via LeMat-Bulk | PBE | relaxed" spacegroup=P4/nmm dos_at_fermi_per_ev_cell=3.0 delta_e_f_ev_per_atom=-0.3315 pbc="T T T"
Ga 3.4547 1.1516 0.0000
Ga 1.1516 3.4547 0.0000
As 3.4547 3.4547 11.8359
As 1.1516 1.1516 1.3153
Cs 1.1516 1.1516 9.8873
Cs 3.4547 3.4547 3.2640
Hg 3.4547 1.1516 6.5756
Hg 1.1516 3.4547 6.5756


Results for total magnetization: 0.000; 0.000 (in μB per atom, following the order of the records).